No. 1
# ErAl3 | the Alexandria database | GGA-PBEsol | relaxed
data_ErAl3
_chemical_formula_sum 'Er1 Al3'
_symmetry_space_group_name_H-M 'P m -3 m'
_symmetry_Int_Tables_number 221
_symmetry_space_group_name_Hall '-P 4 2 3'
_cell_length_a 4.191
_cell_length_b 4.191
_cell_length_c 4.191
_cell_angle_alpha 90.00
_cell_angle_beta 90.00
_cell_angle_gamma 90.00
loop_
_atom_site_label
_atom_site_fract_x
_atom_site_fract_y
_atom_site_fract_z
Er1 0.000 0.000 0.000
Al1 0.000 0.500 0.500
# * formation energy from the elements: -0.44 eV/atom
# * spin magnetization: 0.000 μB per formula unit

---

No. 2
# Hf3ZrTi | the Alexandria database | GGA-PBEsol | relaxed
data_Hf3ZrTi
_chemical_formula_sum 'Hf3 Zr1 Ti1'
_symmetry_space_group_name_H-M 'P m -3 m'
_symmetry_Int_Tables_number 221
_symmetry_space_group_name_Hall '-P 4 2 3'
_cell_length_a 4.844
_cell_length_b 4.844
_cell_length_c 4.844
_cell_angle_alpha 90.00
_cell_angle_beta 90.00
_cell_angle_gamma 90.00
loop_
_atom_site_label
_atom_site_fract_x
_atom_site_fract_y
_atom_site_fract_z
Hf1 0.000 0.000 0.500
Zr1 0.500 0.500 0.500
Ti1 0.000 0.000 0.000
# * formation energy from the elements: 0.82 eV/atom
# * spin magnetization: 0.000 μB per formula unit

---

No. 3
# SrZrAg | the Alexandria database | GGA-PBEsol | relaxed
data_SrZrAg
_chemical_formula_sum 'Sr4 Zr4 Ag4'
_symmetry_space_group_name_H-M 'F -4 3 m'
_symmetry_Int_Tables_number 216
_symmetry_space_group_name_Hall 'F -4 2 3'
_cell_length_a 7.021
_cell_length_b 7.021
_cell_length_c 7.021
_cell_angle_alpha 90.00
_cell_angle_beta 90.00
_cell_angle_gamma 90.00
loop_
_atom_site_label
_atom_site_fract_x
_atom_site_fract_y
_atom_site_fract_z
Sr1 0.000 0.000 0.000
Zr1 0.000 0.000 0.500
Ag1 0.250 0.250 0.750
# * energy above the most stable polymorph in this dataset: 213.3 meV per atom
# * formation energy from the elements: 0.62 eV/atom
# * spin magnetization: 0.427 μB per formula unit

---

No. 4
# CdMoIrPd2 | the Alexandria database | GGA-PBEsol | relaxed
data_CdMoIrPd2
_chemical_formula_sum 'Cd1 Mo1 Ir1 Pd2'
_symmetry_space_group_name_H-M 'P 4/m m m'
_symmetry_Int_Tables_number 123
_symmetry_space_group_name_Hall '-P 4 2'
_cell_length_a 4.696
_cell_length_b 4.696
_cell_length_c 4.834
_cell_angle_alpha 90.00
_cell_angle_beta 90.00
_cell_angle_gamma 90.00
loop_
_atom_site_label
_atom_site_fract_x
_atom_site_fract_y
_atom_site_fract_z
Cd1 0.000 0.000 0.000
Mo1 0.500 0.500 0.500
Ir1 0.000 0.000 0.500
Pd1 0.000 0.500 0.000
# * formation energy from the elements: 1.96 eV/atom
# * spin magnetization: 3.121 μB per formula unit

---

No. 5
# Sc2TlTe | the Alexandria database | GGA-PBEsol | relaxed
data_Sc2TlTe
_chemical_formula_sum 'Sc6 Tl3 Te3'
_symmetry_space_group_name_H-M 'R -3 m'
_symmetry_Int_Tables_number 166
_symmetry_space_group_name_Hall '-R 3 2"'
_cell_length_a 3.8758
_cell_length_b 3.8758
_cell_length_c 22.4791
_cell_angle_alpha 90.00
_cell_angle_beta 90.00
_cell_angle_gamma 120.00
loop_
_atom_site_label
_atom_site_fract_x
_atom_site_fract_y
_atom_site_fract_z
Sc1 0.0000 0.0000 0.2473
Tl1 0.0000 0.0000 0.0000
Te1 0.0000 0.0000 0.5000
# * energy above the most stable polymorph in this dataset: 0.0 meV per atom
# * spin magnetization: 0.000 μB per formula unit
# * formation energy without anion corrections: -16.4 kcal/mol of atoms

---

No. 6
# Na2ZrSi2O7 | the Alexandria database | GGA-PBEsol | relaxed
data_Na2ZrSi2O7
_chemical_formula_sum 'Na4 Zr2 Si4 O14'
_symmetry_space_group_name_H-M 'P -1'
_symmetry_Int_Tables_number 2
_cell_length_a 5.477
_cell_length_b 6.577
_cell_length_c 8.899
_cell_angle_alpha 70.80
_cell_angle_beta 88.06
_cell_angle_gamma 86.34
loop_
_symmetry_equiv_pos_as_xyz
'x,y,z'
'-x,-y,-z'
loop_
_atom_site_label
_atom_site_fract_x
_atom_site_fract_y
_atom_site_fract_z
Na1 0.237 0.390 0.109
Na2 0.259 0.156 0.509
Zr1 0.276 0.794 0.273
Si1 0.190 0.560 0.664
Si2 0.273 0.851 0.854
O1 0.039 0.010 0.780
O2 0.095 0.506 0.329
O3 0.219 0.611 0.836
O4 0.224 0.781 0.515
O5 0.309 0.788 0.045
O6 0.391 0.370 0.665
O7 0.471 0.074 0.242
# * spin magnetization: 0.000 μB per formula unit
# * formation energy without anion corrections: -64.2 kcal/mol of atoms

---

Q: Among the records above, which one has the highest spin magnetization?
A: CdMoIrPd2